Record 1
The following is a DFT calculation (PBE) of PtW2Cl after structural relaxation.

Cell lengths 5.383, 5.383, 5.383 Å; angles 149.68, 124.06, 64.96 degrees
Fractional coordinates of all 4 atoms:
Pt (0.000, 0.000, 0.000)
W (0.267, 0.767, 0.500)
W (0.733, 0.233, 0.500)
Cl (0.500, 0.500, 0.000)

## Properties
raw formation energy	748	meV/atom
E_tot	-30.80	eV per formula unit
spin magnetization	0.00	Bohr magnetons per cell

---

Record 2
The following is a DFT calculation (PBE) of PtW2Cl after structural relaxation.

Cell lengths 3.892, 3.892, 4.363 Å; angles 90.00, 90.00, 90.00 degrees
Fractional coordinates of all 4 atoms:
Pt (0.000, 0.000, 0.000)
W (0.000, 0.500, 0.500)
W (0.500, 0.000, 0.500)
Cl (0.500, 0.500, 0.000)

## Properties
raw formation energy	1190	meV/atom
E_tot	-29.03	eV per formula unit
spin magnetization	0.00	Bohr magnetons per cell

---

Record 3
The following is a DFT calculation (PBE) of Pt2WCl after structural relaxation.

Cell lengths 3.813, 3.813, 4.527 Å; angles 90.00, 90.00, 90.00 degrees
Fractional coordinates of all 4 atoms:
Pt (0.000, 0.500, 0.000)
Pt (0.500, 0.000, 0.000)
W (0.000, 0.000, 0.500)
Cl (0.500, 0.500, 0.500)

## Properties
raw formation energy	876	meV/atom
E_tot	-23.38	eV per formula unit
spin magnetization	1.60	Bohr magnetons per cell

---

Record 4
The following is a DFT calculation (PBE) of Pt2WCl after structural relaxation.

Cell lengths 5.105, 5.105, 2.797 Å; angles 90.09, 90.09, 117.22 degrees
Fractional coordinates of all 4 atoms:
Pt (0.000, 0.500, 0.000)
Pt (0.500, 0.000, 0.000)
W (0.000, 0.000, 0.500)
Cl (0.500, 0.500, 0.500)

## Properties
raw formation energy	578	meV/atom
E_tot	-24.57	eV per formula unit
spin magnetization	0.00	Bohr magnetons per cell

---

Which value of raw formation energy does entry 1 give? 748 meV/atom

---

Among the records above, which one has the lowest E_tot? number 1